Computed, not measured: an optimized crystal structure of CoPtNO2 at the GGA+U level of DFT.

```
CoPtNO2
1.0
-1.700 -3.381 0.305
-0.150 -0.266 -3.784
3.156 -1.588 -0.014
Co O Pt N
1 2 1 1
Direct
0.000 0.000 0.000 Co
0.000 0.500 0.000 O
0.500 0.000 0.000 O
0.500 0.500 0.500 Pt
0.000 0.000 0.500 N
```

Results
Its crystal system is tetragonal. As for the uncorrected energy: -25.24 eV/f.u.